Below is a geometry-optimized Ac4SbRuI2 structure, with properties calculated at the PBE level.

Summary:
The calculation puts the formation energy from raw total energies at -0.91 eV/atom. The calculation puts the total magnetization at 0.000 μB per atom.

Cell lengths 8.3644, 4.4632, 8.7728 Å; angles 90.00, 105.93, 90.00 degrees
Fractional positions:
Ac (0.2026, 0.0000, 0.1889)
Ac (0.2289, 0.5000, 0.8060)
Ac (0.7711, 0.5000, 0.1940)
Ac (0.7974, 0.0000, 0.8111)
Sb (0.5000, 0.0000, 0.0000)
Ru (0.0000, 0.5000, 0.0000)
I (0.0000, 0.0000, 0.5000)
I (0.5000, 0.5000, 0.5000)